Below is a relaxed structure of PmPdPt4, with properties calculated at the PBE level.

Results
V, Å³ per cell: 109.1
E_tot, eV/atom: -6.38
Calculated density, Mg/m³: 15.7
Formation energy from the elements, eV/atom: -0.69

Structure (POSCAR):
```
PmPdPt4
1.0
-4.496 -2.517 -1.492
-4.449 2.824 -0.999
-1.799 0.480 -5.030
Pd Pm Pt
1 1 4
Direct
0.000 0.000 0.000
0.250 0.250 0.250
0.124 0.625 0.625
0.625 0.124 0.625
0.625 0.625 0.625
0.625 0.625 0.124
```



Below is a relaxed structure of TcB4Ir, with properties calculated at the PBE level.

Results
V, Å³ per cell: 53.2
E_tot, eV/atom: -7.43
Calculated density, Mg/m³: 10.4
Excess energy over the best structure of this formula in the dataset, eV per formula unit: 0.00

Structure (POSCAR):
```
TcB4Ir
1.0
3.010 0.000 0.000
-1.505 2.607 0.000
0.000 0.000 6.785
B Tc Ir
4 1 1
Direct
0.667 0.333 0.754
0.333 0.667 0.246
0.667 0.333 0.246
0.333 0.667 0.754
0.000 0.000 0.000
0.000 0.000 0.500
```



Below is a relaxed structure of NbFe2Tc, with properties calculated at the PBE level.

Results
V, Å³ per cell: 55.7
E_tot, eV/atom: -9.23
Calculated density, Mg/m³: 9.0
Formation energy from the elements, eV/atom: 0.03

Structure (POSCAR):
```
NbFe2Tc
1.0
0.000 3.031 3.031
3.031 0.000 3.031
3.031 3.031 0.000
Tc Nb Fe
1 1 2
Direct
0.250 0.250 0.250
0.000 0.000 0.000
0.500 0.500 0.500
0.750 0.750 0.750
```



Among the records above, which one has the highest V?
PmPdPt4